Below is an optimized crystal structure of PmVAsO5, with properties calculated at the PBE+U level.

a = 5.8193 Å, b = 9.9590 Å, c = 7.7533 Å
α = 90.00°, β = 93.35°, γ = 90.00°
With the nearest neighbours (Å) after each atom.
Space group C2/c (No. 15)
Asymmetric unit:
Pm  0.0000  0.0000  0.0000 x4  6 O 2.32-2.42
V  0.0000  0.3191  0.2500 x4  3 O 1.80-1.90
As  0.0000  0.3063  0.7500 x4  2 O 1.78
O  0.0000  0.1279  0.2500 x4  1 V 1.90
O  0.1356  0.3858  0.4465 x8  1 V 1.80
O  0.1808  0.1805  0.8489 x8  1 As 1.78

Calculated values
The value obtained for the total energy is -7.262 eV per atom.